Here is BaTl2CdW after structural relaxation from Alexandria via LeMat-Bulk. Energies are from PBE-GGA.

Cell lengths 6.3970, 6.3970, 6.2464 Å; angles 90.00, 90.00, 90.00 degrees
Last column: nearest neighbours and their distance in Å.
Space group P4/mmm (No. 123)
Asymmetric unit:
Ba  0.0000  0.0000  0.0000 x1  2 Cd 3.12, 4 Tl 3.20
Tl  0.0000  0.5000  0.0000 x2  2 Ba 3.20
Cd  0.0000  0.0000  0.5000 x1  2 Ba 3.12
W  0.5000  0.5000  0.5000 x1  8 Tl 4.47, 4 Cd 4.52

* DOS(E_F): 7.256 states/eV/f.u.
* total energy: -2.17 eV per atom